[1]
Material: Cu5Ni7
Method: DFT, PBE
State: relaxed

Lattice parameters (Å, degrees): 2.503 7.533 7.147 90.00 90.00 90.00
Positions (direct):
1 Cu 0.000 0.000 0.000
2 Cu 0.000 0.336 0.504
3 Cu 0.000 0.664 0.504
4 Cu 0.500 0.167 0.254
5 Cu 0.500 0.833 0.254
6 Ni 0.000 0.000 0.510
7 Ni 0.000 0.334 0.999
8 Ni 0.000 0.666 0.999
9 Ni 0.500 0.167 0.752
10 Ni 0.500 0.500 0.244
11 Ni 0.500 0.500 0.760
12 Ni 0.500 0.833 0.752

## Properties
formation energy from the elements = 19.8 meV/atom
magnetic moment = 0.189 μB per atom
calculated total energy = -5.059 eV/atom
theoretical density = 8978 kg/m3

=====

[2]
Material: Na2Ga5Cu4
Method: DFT, PBE
State: relaxed

Lattice parameters (Å, degrees): 6.437 6.437 8.248 129.75 129.75 49.16
Positions (direct):
1 Na 0.200 0.200 0.201
2 Na 0.800 0.800 0.799
3 Ga 0.251 0.749 0.324
4 Ga 0.251 0.749 0.676
5 Ga 0.500 0.500 0.000
6 Ga 0.749 0.251 0.324
7 Ga 0.749 0.251 0.676
8 Cu 0.258 0.258 0.593
9 Cu 0.258 0.258 0.924
10 Cu 0.742 0.742 0.076
11 Cu 0.742 0.742 0.407

## Properties
formation energy from the elements = -43.3 meV/atom
magnetic moment = 0.000 μB per atom
calculated total energy = -3.148 eV/atom
theoretical density = 5862 kg/m3

=====

Repeat the second record exactly.
Material: Na2Ga5Cu4
Method: DFT, PBE
State: relaxed

Lattice parameters (Å, degrees): 6.437 6.437 8.248 129.75 129.75 49.16
Positions (direct):
1 Na 0.200 0.200 0.201
2 Na 0.800 0.800 0.799
3 Ga 0.251 0.749 0.324
4 Ga 0.251 0.749 0.676
5 Ga 0.500 0.500 0.000
6 Ga 0.749 0.251 0.324
7 Ga 0.749 0.251 0.676
8 Cu 0.258 0.258 0.593
9 Cu 0.258 0.258 0.924
10 Cu 0.742 0.742 0.076
11 Cu 0.742 0.742 0.407

## Properties
formation energy from the elements = -43.3 meV/atom
magnetic moment = 0.000 μB per atom
calculated total energy = -3.148 eV/atom
theoretical density = 5862 kg/m3

=====

Which of these has the highest theoretical density?
Cu5Ni7

=====

Which formula does entry 2 have?
Na2Ga5Cu4

=====

The lowest magnetic moment belongs to which entry?
Na2Ga5Cu4